The following is a PBE calculation of a geometry-optimized PuTh2H structure, from Alexandria via LeMat-Bulk.

Properties
- M_tot: 5.8 μB per formula unit
- DFT total energy: -7.974 eV/atom
- Fermi-level density of states: 10.3 states/eV/f.u.

a = 3.4098 Å, b = 3.4098 Å, c = 9.7527 Å
α = 79.93°, β = 79.93°, γ = 60.00°
Fractional positions:
Pu 0.0000 0.0000 0.0000
Th 0.8888 0.8888 0.3337
H 0.5000 0.5000 0.5000
Th 0.1112 0.1112 0.6663